Entry 1:
Below is a geometry-optimized Sr2ReBr structure, with properties calculated at the GGA-PBE level.

```
Sr2ReBr
1.0
7.006 -0.037 -0.008
4.162 5.636 0.008
-5.034 -3.895 2.927
Re Br Sr
1 1 2
Direct
0.744 0.244 0.500
0.520 0.520 0.000
0.967 0.967 0.000
0.268 0.768 0.500
```

E_form (uncorrected) (eV per atom): 0.39
Polymorph energy (0 for the lowest one) (meV per atom): 368
Crystal system: orthorhombic
Density of states at the Fermi level (states/eV per cell): 2.83
DFT total energy (eV/f.u.): -15.9

=====

Entry 2:
Below is a geometry-optimized GdAl3Pb2O8 structure, with properties calculated at the GGA-PBE level.

```
GdAl3Pb2O8
1.0
9.576 0.000 0.000
0.000 9.576 0.000
0.000 0.000 9.576
Gd Al Pb O
4 12 8 32
Direct
0.250 0.750 0.250
0.750 0.250 0.250
0.750 0.750 0.750
0.250 0.250 0.750
0.500 0.000 0.250
0.750 0.500 0.000
0.250 0.500 0.000
0.000 0.250 0.500
0.000 0.750 0.500
0.500 0.000 0.750
0.000 0.500 0.250
0.750 0.000 0.500
0.250 0.000 0.500
0.500 0.250 0.000
0.500 0.750 0.000
0.000 0.500 0.750
0.366 0.366 0.366
0.866 0.134 0.866
0.134 0.866 0.866
0.866 0.866 0.134
0.366 0.634 0.634
0.634 0.634 0.366
0.634 0.366 0.634
0.134 0.134 0.134
0.514 0.158 0.158
0.514 0.842 0.842
0.158 0.158 0.514
0.842 0.158 0.486
0.158 0.514 0.158
0.842 0.486 0.158
0.014 0.658 0.342
0.014 0.342 0.658
0.986 0.658 0.658
0.342 0.658 0.014
0.658 0.986 0.658
0.658 0.014 0.342
0.658 0.342 0.014
0.342 0.014 0.658
0.658 0.658 0.986
0.342 0.342 0.986
0.342 0.986 0.342
0.842 0.514 0.842
0.158 0.486 0.842
0.158 0.842 0.486
0.842 0.842 0.514
0.486 0.842 0.158
0.486 0.158 0.842
0.986 0.342 0.342
0.612 0.612 0.612
0.112 0.888 0.112
0.112 0.112 0.888
0.888 0.112 0.112
0.388 0.388 0.612
0.612 0.388 0.388
0.388 0.612 0.388
0.888 0.888 0.888
```

E_form (uncorrected) (eV per atom): -2.58
Crystal system: cubic
Density of states at the Fermi level (states/eV per cell): 0.00
DFT total energy (eV/f.u.): -108.5

=====

Entry 3:
Below is a geometry-optimized TlRe2Hg structure, with properties calculated at the GGA-PBE level.

```
TlRe2Hg
1.0
7.703 0.000 0.000
0.000 7.703 0.000
3.852 3.852 2.729
Re Tl Hg
4 2 2
Direct
0.623 0.125 0.250
0.127 0.625 0.250
0.375 0.377 0.750
0.875 0.873 0.750
0.000 0.000 0.000
0.750 0.250 0.500
0.500 0.500 0.000
0.250 0.750 0.500
```

Polymorph energy (0 for the lowest one) (meV per atom): 1193
Crystal system: tetragonal
ΔH_f (0 K) (kJ/mol of formula units): 633.4
Density of states at the Fermi level (states/eV per cell): 7.45
DFT total energy (eV/f.u.): -21.0

=====

Entry 4:
Below is a geometry-optimized Tm3Ga3Cu8 structure, with properties calculated at the GGA-PBE level.

```
Tm3Ga3Cu8
1.0
-1.495 3.230 -2.113
-6.797 -2.540 -3.129
-6.281 2.444 4.125
Tm Ga Cu
3 3 8
Direct
0.500 0.500 0.500
0.797 0.203 0.203
0.203 0.797 0.797
0.500 0.000 0.000
0.000 0.785 0.215
0.000 0.215 0.785
0.631 0.085 0.652
0.369 0.915 0.348
0.631 0.652 0.085
0.369 0.348 0.915
0.830 0.811 0.528
0.170 0.189 0.472
0.830 0.528 0.811
0.170 0.472 0.189
```

Crystal system: orthorhombic
ΔH_f (0 K) (kJ/mol of formula units): -406.1
Density of states at the Fermi level (states/eV per cell): 8.86
DFT total energy (eV/f.u.): -59.5

=====

Entry 5:
Below is a geometry-optimized NaP3Ru structure, with properties calculated at the GGA-PBE level.

```
NaP3Ru
1.0
-3.641 2.926 0.130
-2.588 -3.311 2.045
1.373 1.522 4.200
Ru Na P
1 1 3
Direct
0.000 0.000 0.000
0.500 0.500 0.500
0.000 0.500 0.000
0.000 0.000 0.500
0.500 0.000 0.000
```

Polymorph energy (0 for the lowest one) (meV per atom): 0
Crystal system: cubic
ΔH_f (0 K) (kJ/mol of formula units): 179.6
Density of states at the Fermi level (states/eV per cell): 4.54
DFT total energy (eV/f.u.): -25.0

=====

Entry 6:
Below is a geometry-optimized MgScMn2 structure, with properties calculated at the GGA-PBE level.

```
MgScMn2
1.0
9.396 -0.015 -0.009
8.917 2.961 -0.009
8.917 1.435 2.591
Mg Mn Sc
1 2 1
Direct
0.750 0.750 0.750
0.998 0.998 0.998
0.502 0.502 0.502
0.250 0.250 0.250
```

Crystal system: trigonal
ΔH_f (0 K) (kJ/mol of formula units): 125.6
Density of states at the Fermi level (states/eV per cell): 4.44
DFT total energy (eV/f.u.): -25.0

=====

Q: Which formula does entry 4 have?
A: Tm3Ga3Cu8